No. 1
## LuTlTeO (PBE-GGA)

Data for crystalline LuTlTeO at its relaxed geometry.

abc: 4.7075 8.2342 6.7639
angles: 90.00 90.00 90.00
With the nearest neighbours (Å) after each atom.
Atoms (fractional coordinates):
Te  0.0000  0.6794  0.1061  2 Lu 2.94
Te  0.0000  0.3206  0.6061  2 Lu 2.94
Tl  0.0000  0.2691  0.1190  2 O 2.99, 1 Te 3.32
Tl  0.0000  0.7309  0.6190  2 O 2.99, 1 Te 3.32
Lu  0.5000  0.8834  0.0310  2 O 2.04-2.05
Lu  0.5000  0.1166  0.5310  2 O 2.04-2.05
O  0.5000  0.0658  0.2349  2 Lu 2.04-2.05
O  0.5000  0.9342  0.7349  2 Lu 2.04-2.05

Calculated values
The total energy comes out at -5.38 eV/atom.

=====

No. 2
## LuTl2O4 (PBE-GGA)

Data for crystalline LuTl2O4 at its relaxed geometry.

abc: 6.7949 6.7949 6.7949
angles: 120.00 90.01 120.00
With the nearest neighbours (Å) after each atom.
Atoms (fractional coordinates):
Tl  0.3750  0.7500  0.6250  6 O 2.39
Tl  0.8750  0.2500  0.6250  6 O 2.39
Tl  0.3750  0.7500  0.1250  6 O 2.39
Tl  0.3750  0.2500  0.6250  6 O 2.39
Lu  0.7500  0.5000  0.2500  4 O 2.11
Lu  0.0000  0.0000  0.0000  4 O 2.11
O  0.1268  0.2535  0.8733  1 Lu 2.11
O  0.1267  0.7465  0.8732  1 Lu 2.11
O  0.1302  0.7535  0.3767  1 Lu 2.11
O  0.6198  0.7465  0.8733  1 Lu 2.11
O  0.1267  0.2535  0.3802  1 Lu 2.11
O  0.6233  0.2465  0.8698  1 Lu 2.11
O  0.6233  0.7535  0.3768  1 Lu 2.11
O  0.6232  0.2465  0.3767  1 Lu 2.11

Calculated values
The total energy comes out at -5.69 eV/atom.

=====

No. 3
## YLu2O2 (PBE-GGA)

Data for crystalline YLu2O2 at its relaxed geometry.

abc: 6.9113 6.9113 6.9113
angles: 130.83 80.66 120.56
With the nearest neighbours (Å) after each atom.
Atoms (fractional coordinates):
Y  0.9957  0.9957  0.0000  4 O 2.28
Y  0.4957  0.4957  0.0000  4 O 2.28
Lu  0.4001  0.7458  0.6545  2 O 2.13
Lu  0.5913  0.2458  0.3457  2 O 2.13
Lu  0.9001  0.2457  0.6543  2 O 2.13
Lu  0.0914  0.7457  0.3455  2 O 2.13
O  0.2455  0.5073  0.2614  2 Lu 2.13, 2 Y 2.28
O  0.2459  0.9841  0.7386  2 Lu 2.13, 2 Y 2.28
O  0.7455  0.4841  0.7382  2 Lu 2.13, 2 Y 2.28
O  0.7459  0.0073  0.2618  2 Lu 2.13, 2 Y 2.28

Calculated values
The total energy comes out at -7.34 eV/atom.

=====

No. 4
## Y2LuO4 (PBE-GGA)

Data for crystalline Y2LuO4 at its relaxed geometry.

abc: 6.6903 6.6903 6.6903
angles: 119.99 90.01 119.99
With the nearest neighbours (Å) after each atom.
Atoms (fractional coordinates):
Lu  0.0000  0.0000  0.0000  4 O 2.10
Lu  0.7500  0.5000  0.2500  4 O 2.10
Y  0.3750  0.7500  0.1250  6 O 2.33
Y  0.3750  0.2500  0.6250  6 O 2.33
Y  0.8750  0.2500  0.6250  6 O 2.33
Y  0.3750  0.7500  0.6250  6 O 2.33
O  0.1283  0.2566  0.3849  1 Lu 2.10, 3 Y 2.33
O  0.1349  0.7566  0.3783  1 Lu 2.10, 3 Y 2.33
O  0.1284  0.2566  0.8717  1 Lu 2.10, 3 Y 2.33
O  0.6216  0.2434  0.3783  1 Lu 2.10, 3 Y 2.33
O  0.6217  0.2434  0.8651  1 Lu 2.10, 3 Y 2.33
O  0.1283  0.7434  0.8716  1 Lu 2.10, 3 Y 2.33
O  0.6151  0.7434  0.8717  1 Lu 2.10, 3 Y 2.33
O  0.6217  0.7566  0.3784  1 Lu 2.10, 3 Y 2.33

Calculated values
The total energy comes out at -8.55 eV/atom.

=====

No. 5
## LuZn2O4 (PBE-GGA)

Data for crystalline LuZn2O4 at its relaxed geometry.

abc: 6.1998 6.1998 6.1998
angles: 120.00 90.00 120.00
With the nearest neighbours (Å) after each atom.
Atoms (fractional coordinates):
O  0.1365  0.7268  0.8633  1 Lu 2.07, 3 Zn 2.10
O  0.6135  0.2268  0.8402  1 Lu 2.07, 3 Zn 2.10
O  0.6133  0.2268  0.3865  1 Lu 2.07, 3 Zn 2.10
O  0.1598  0.7732  0.3865  1 Lu 2.07, 3 Zn 2.10
O  0.5902  0.7268  0.8635  1 Lu 2.07, 3 Zn 2.10
O  0.6135  0.7732  0.3867  1 Lu 2.07, 3 Zn 2.10
O  0.1367  0.2732  0.8635  1 Lu 2.07, 3 Zn 2.10
O  0.1365  0.2732  0.4098  1 Lu 2.07, 3 Zn 2.10
Lu  0.0000  0.0000  0.0000  4 O 2.07
Lu  0.7500  0.5000  0.2500  4 O 2.07
Zn  0.3750  0.7500  0.1250  6 O 2.10
Zn  0.3750  0.2500  0.6250  6 O 2.10
Zn  0.8750  0.2500  0.6250  6 O 2.10
Zn  0.3750  0.7500  0.6250  6 O 2.10

Calculated values
The total energy comes out at -5.71 eV/atom.

=====

No. 6
## Lu3Os (PBE-GGA)

Data for crystalline Lu3Os at its relaxed geometry.

abc: 5.6704 5.6704 5.6704
angles: 135.26 135.26 65.13
With the nearest neighbours (Å) after each atom.
Atoms (fractional coordinates):
Lu  0.2500  0.7500  0.5000  8 Lu 3.05-3.22, 4 Os 3.22
Lu  0.5000  0.5000  0.0000  4 Os 3.05, 8 Lu 3.22
Lu  0.7500  0.2500  0.5000  8 Lu 3.05-3.22, 4 Os 3.22
Os  0.0000  0.0000  0.0000  12 Lu 3.05-3.22

Calculated values
The total energy comes out at -6.09 eV/atom.

=====

No. 7
## Lu8Os (PBE-GGA)

Data for crystalline Lu8Os at its relaxed geometry.

abc: 8.8531 8.8531 3.5692
angles: 90.00 90.00 120.00
With the nearest neighbours (Å) after each atom.
Atoms (fractional coordinates):
Lu  0.7534  0.7534  0.5000  2 Os 2.82
Lu  0.3333  0.6667  0.5000  11 Lu 3.32-3.57
Lu  0.6283  0.0000  0.0000  1 Os 3.29, 10 Lu 3.32-3.57
Lu  0.0000  0.6283  0.0000  1 Os 3.29, 10 Lu 3.32-3.57
Lu  0.0000  0.2466  0.5000  2 Os 2.82
Lu  0.3717  0.3717  0.0000  1 Os 3.29, 10 Lu 3.32-3.57
Lu  0.2466  0.0000  0.5000  2 Os 2.82
Lu  0.6667  0.3333  0.5000  11 Lu 3.32-3.57
Os  0.0000  0.0000  0.0000  6 Lu 2.82

Calculated values
The total energy comes out at -5.35 eV/atom.

=====

No. 8
## Lu3Os (PBE-GGA)

Data for crystalline Lu3Os at its relaxed geometry.

abc: 7.3084 8.8017 6.1347
angles: 90.00 90.00 90.00
With the nearest neighbours (Å) after each atom.
Atoms (fractional coordinates):
Lu  0.4629  0.2500  0.8747  2 Os 2.71-2.79
Lu  0.6747  0.9384  0.6639  3 Os 2.82-3.04
Lu  0.3253  0.0616  0.3361  3 Os 2.82-3.04
Lu  0.8253  0.4384  0.1639  3 Os 2.82-3.04
Lu  0.9629  0.2500  0.6253  2 Os 2.71-2.79
Lu  0.8253  0.0616  0.1639  3 Os 2.82-3.04
Lu  0.1747  0.5616  0.8361  3 Os 2.82-3.04
Lu  0.3253  0.4384  0.3361  3 Os 2.82-3.04
Lu  0.0371  0.7500  0.3747  2 Os 2.71-2.79
Lu  0.1747  0.9384  0.8361  3 Os 2.82-3.04
Lu  0.6747  0.5616  0.6639  3 Os 2.82-3.04
Lu  0.5371  0.7500  0.1253  2 Os 2.71-2.79
Os  0.3804  0.7500  0.5400  6 Lu 2.71-2.88
Os  0.1196  0.2500  0.0400  6 Lu 2.71-2.88
Os  0.6196  0.2500  0.4600  6 Lu 2.71-2.88
Os  0.8804  0.7500  0.9600  6 Lu 2.71-2.88

Calculated values
The total energy comes out at -6.54 eV/atom.